A geometry-optimized LiSi2Cl structure. Source: Alexandria, functional PBE.

Calculated values
- Formation energy from raw total energies: 0.353 eV/atom
- Energy above the most stable polymorph in this dataset: 1025 meV per atom

Geometry as CIF:
```
data_LiSi2Cl
_space_group_name_H-M_alt 'C m m m'
_space_group_IT_number 65
_space_group_name_Hall '-C 2 2'
_cell_length_a 3.160
_cell_length_b 5.011
_cell_length_c 8.553
_cell_angle_alpha 90.00
_cell_angle_beta 90.00
_cell_angle_gamma 90.00
loop_
_atom_site_label
_atom_site_fract_x
_atom_site_fract_y
_atom_site_fract_z
_atom_site_occupancy
Li1 0.000 0.000 0.000 1
Si1 0.000 0.500 0.250 1
Cl1 0.000 0.000 0.500 1
```



A geometry-optimized KRbPS3 structure. Source: Alexandria, functional PBE.

Calculated values
- Formation energy from raw total energies: -0.875 eV/atom

Geometry as CIF:
```
data_KRbPS3
_space_group_name_H-M_alt 'C 1 2/m 1'
_space_group_IT_number 12
_space_group_name_Hall '-C 2y'
_cell_length_a 12.206
_cell_length_b 7.855
_cell_length_c 8.615
_cell_angle_alpha 90.00
_cell_angle_beta 98.03
_cell_angle_gamma 90.00
loop_
_atom_site_label
_atom_site_fract_x
_atom_site_fract_y
_atom_site_fract_z
_atom_site_occupancy
K1 0.000 0.229 0.000 1
Rb1 0.164 0.500 0.422 1
P1 0.022 0.000 0.635 1
S1 0.111 0.216 0.694 1
S2 0.124 0.000 0.274 1
```



A geometry-optimized Nd12Ho3Sc structure. Source: Alexandria, functional PBE.

Calculated values
- Formation energy from the elements: 0.02 eV per atom

Geometry as CIF:
```
data_Nd12Ho3Sc
_space_group_name_H-M_alt 'P 4/m m m'
_space_group_IT_number 123
_space_group_name_Hall '-P 4 2'
_cell_length_a 5.131
_cell_length_b 5.131
_cell_length_c 20.458
_cell_angle_alpha 90.00
_cell_angle_beta 90.00
_cell_angle_gamma 90.00
loop_
_atom_site_label
_atom_site_fract_x
_atom_site_fract_y
_atom_site_fract_z
_atom_site_occupancy
Nd1 0.000 0.000 0.000 1
Nd2 0.000 0.000 0.248 1
Nd3 0.000 0.000 0.500 1
Nd4 0.000 0.500 0.122 1
Nd5 0.000 0.500 0.374 1
Ho1 0.500 0.500 0.248 1
Ho2 0.500 0.500 0.500 1
Sc1 0.500 0.500 0.000 1
```



What did the third record say?
A geometry-optimized Nd12Ho3Sc structure. Source: Alexandria, functional PBE.

Calculated values
- Formation energy from the elements: 0.02 eV per atom

Geometry as CIF:
```
data_Nd12Ho3Sc
_space_group_name_H-M_alt 'P 4/m m m'
_space_group_IT_number 123
_space_group_name_Hall '-P 4 2'
_cell_length_a 5.131
_cell_length_b 5.131
_cell_length_c 20.458
_cell_angle_alpha 90.00
_cell_angle_beta 90.00
_cell_angle_gamma 90.00
loop_
_atom_site_label
_atom_site_fract_x
_atom_site_fract_y
_atom_site_fract_z
_atom_site_occupancy
Nd1 0.000 0.000 0.000 1
Nd2 0.000 0.000 0.248 1
Nd3 0.000 0.000 0.500 1
Nd4 0.000 0.500 0.122 1
Nd5 0.000 0.500 0.374 1
Ho1 0.500 0.500 0.248 1
Ho2 0.500 0.500 0.500 1
Sc1 0.500 0.500 0.000 1
```